# CoAgPdF6 | Alexandria via LeMat-Bulk | PBE+U | optimized geometry
data_CoAgPdF6
_chemical_formula_sum 'Co2 Ag2 Pd2 F12'
_cell_length_a 4.998
_cell_length_b 4.998
_cell_length_c 9.894
_cell_angle_alpha 90.00
_cell_angle_beta 90.00
_cell_angle_gamma 90.00
_space_group_name_H-M_alt 'P 42 n m'
_space_group_IT_number 102
_space_group_name_Hall 'P 4n -2n'
loop_
_atom_site_label
_atom_site_fract_x
_atom_site_fract_y
_atom_site_fract_z
Co1 0.000 0.000 0.000
Ag1 0.000 0.000 0.337
Pd1 0.000 0.000 0.663
F1 0.174 0.174 0.854
F2 0.187 0.187 0.139
F3 0.232 0.232 0.505
# - crystal system = tetragonal
# - total magnetic moment (μB per formula unit) = 2.062
# - total DFT energy (no corrections) (eV/atom) = -4.07